No. 1
Density functional theory data (PBE-GGA) for TcSb2Se after structural relaxation.

Summary:
Raw formation energy: 158 meV per atom

Unit cell a=3.3004 b=3.2919 c=7.6140 alpha=90.00 beta=90.14 gamma=90.00
Space group P2/m (No. 10)
Symmetry-distinct sites (fractional):
1 Tc 0.0000 0.0000 0.0000
2 Sb 0.4983 0.5000 0.7854
3 Se 0.0000 0.0000 0.5000

No. 2
Density functional theory data (PBE-GGA) for HoPaIn after structural relaxation.

Summary:
Energy of formation: 0.201 eV per atom
Energy above the most stable polymorph in this dataset: 0.75 eV/f.u.

Unit cell a=5.3441 b=5.3441 c=3.0936 alpha=90.00 beta=90.00 gamma=120.00
Space group P3m1 (No. 156)
Symmetry-distinct sites (fractional):
1 Ho 0.0000 0.0000 0.0000
2 Pa 0.6667 0.3333 0.9966
3 In 0.3333 0.6667 0.4973

No. 3
Density functional theory data (PBE-GGA) for Hf2Fe3Si after structural relaxation.

Summary:
Raw formation energy: -574 meV per atom

Unit cell a=4.9549 b=4.9549 c=7.9616 alpha=90.00 beta=90.00 gamma=120.00
Space group P6_3/mmc (No. 194)
Symmetry-distinct sites (fractional):
1 Hf 0.3333 0.6667 0.0641
2 Fe 0.1702 0.3404 0.7500
3 Si 0.0000 0.0000 0.0000

No. 4
Density functional theory data (PBE-GGA) for SbPdOF2 after structural relaxation.

Summary:
Raw formation energy: -562 meV per atom
Energy above the most stable polymorph in this dataset: 1.92 eV/f.u.

Unit cell a=4.1657 b=4.1657 c=4.0588 alpha=90.00 beta=90.00 gamma=90.00
Space group P4/mmm (No. 123)
Symmetry-distinct sites (fractional):
1 Sb 0.0000 0.0000 0.0000
2 Pd 0.5000 0.5000 0.5000
3 O 0.5000 0.5000 0.0000
4 F 0.0000 0.5000 0.5000

No. 5
Density functional theory data (PBE-GGA) for KSnB after structural relaxation.

Summary:
Energy of formation: 0.686 eV per atom

Unit cell a=4.5126 b=4.5126 c=8.5255 alpha=90.00 beta=90.00 gamma=120.00
Space group P-6m2 (No. 187)
Symmetry-distinct sites (fractional):
1 K 0.0000 0.0000 0.0000
2 K 0.0000 0.0000 0.5000
3 Sn 0.3333 0.6667 0.2086
4 B 0.6667 0.3333 0.1034

No. 6
Density functional theory data (PBE-GGA) for Tm4TeSe after structural relaxation.

Summary:
Raw formation energy: -667 meV per atom

Unit cell a=9.4815 b=9.4815 c=8.2558 alpha=90.00 beta=90.00 gamma=90.00
Space group I4_1md (No. 109)
Symmetry-distinct sites (fractional):
1 Tm 0.0000 0.2836 0.0000
2 Tm 0.0000 0.3032 0.4627
3 Te 0.0000 0.0000 0.4930
4 Se 0.0000 0.0000 0.9682

No. 7
Density functional theory data (PBE-GGA) for YTcAu2 after structural relaxation.

Summary:
Energy of formation: 0.050 eV per atom
Energy above the most stable polymorph in this dataset: 0.93 eV/f.u.

Unit cell a=6.7803 b=6.7803 c=6.7803 alpha=90.00 beta=90.00 gamma=90.00
Space group F-43m (No. 216)
Symmetry-distinct sites (fractional):
1 Y 0.0000 0.0000 0.0000
2 Tc 0.2500 0.2500 0.2500
3 Au 0.0000 0.0000 0.5000
4 Au 0.2500 0.2500 0.7500

No. 8
Density functional theory data (PBE-GGA) for PmGaH8Rh4 after structural relaxation.

Summary:
Total energy: -4.753 eV per atom

Unit cell a=5.8270 b=5.8270 c=13.3199 alpha=90.00 beta=90.00 gamma=120.00
Space group R3m (No. 160, hexagonal axes)
Symmetry-distinct sites (fractional):
1 Pm 0.0000 0.0000 0.0000
2 Ga 0.0000 0.0000 0.3960
3 H 0.0000 0.0000 0.1662
4 H 0.0000 0.0000 0.6179
5 H 0.1981 0.3962 0.5067
6 H 0.2068 0.4137 0.9425
7 Rh 0.0000 0.0000 0.7549
8 Rh 0.1688 0.3376 0.2131

No. 9
Density functional theory data (PBE-GGA) for YPaTc2 after structural relaxation.

Summary:
Energy of formation: -0.209 eV per atom
Energy above the most stable polymorph in this dataset: 0.00 eV/f.u.

Unit cell a=3.4225 b=3.4225 c=6.9798 alpha=90.00 beta=90.00 gamma=90.00
Space group P4/mmm (No. 123)
Symmetry-distinct sites (fractional):
1 Y 0.0000 0.0000 0.0000
2 Pa 0.0000 0.0000 0.5000
3 Tc 0.5000 0.5000 0.2820

No. 10
Density functional theory data (PBE-GGA) for CoSiW3 after structural relaxation.

Summary:
Raw formation energy: 1470 meV per atom
Energy above the most stable polymorph in this dataset: 0.00 eV/f.u.

Unit cell a=4.4338 b=4.4338 c=4.4338 alpha=90.00 beta=90.00 gamma=90.00
Space group Pm-3m (No. 221)
Symmetry-distinct sites (fractional):
1 Co 0.0000 0.0000 0.0000
2 Si 0.5000 0.5000 0.5000
3 W 0.0000 0.0000 0.5000

No. 11
Density functional theory data (PBE-GGA) for H2Pt2Rh after structural relaxation.

Summary:
Energy above the most stable polymorph in this dataset: 0.00 eV/f.u.

Unit cell a=4.8587 b=2.7965 c=7.8781 alpha=90.00 beta=100.59 gamma=90.00
Space group C2/m (No. 12)
Symmetry-distinct sites (fractional):
1 H 0.2015 0.0000 0.1254
2 Pt 0.1673 0.0000 0.3461
3 Rh 0.0000 0.5000 0.0000

No. 12
Density functional theory data (PBE-GGA) for Li2Cu after structural relaxation.

Summary:
Energy of formation: 0.023 eV per atom

Unit cell a=2.7301 b=2.7301 c=6.6770 alpha=90.00 beta=90.00 gamma=120.00
Space group P-3m1 (No. 164)
Symmetry-distinct sites (fractional):
1 Li 0.3333 0.6667 0.3101
2 Cu 0.0000 0.0000 0.0000

No. 13
Density functional theory data (PBE-GGA) for ErCuAgGe after structural relaxation.

Summary:
Energy of formation: -0.267 eV per atom

Unit cell a=6.6482 b=6.6482 c=6.6482 alpha=90.00 beta=90.00 gamma=90.00
Space group F-43m (No. 216)
Symmetry-distinct sites (fractional):
1 Er 0.0000 0.0000 0.0000
2 Cu 0.2500 0.2500 0.7500
3 Ag 0.0000 0.0000 0.5000
4 Ge 0.2500 0.2500 0.2500

No. 14
Density functional theory data (PBE-GGA) for Pm5SmSn6 after structural relaxation.

Summary:
Energy of formation: -0.646 eV per atom

Unit cell a=5.7816 b=14.4492 c=8.6763 alpha=90.00 beta=100.89 gamma=90.00
Space group C2/m (No. 12)
Symmetry-distinct sites (fractional):
1 Pm 0.0000 0.0000 0.0000
2 Pm 0.0000 0.3327 0.0000
3 Pm 0.0000 0.3339 0.5000
4 Sm 0.0000 0.0000 0.5000
5 Sn 0.0009 0.1662 0.7492
6 Sn 0.0037 0.5000 0.2494

No. 15
Density functional theory data (PBE-GGA) for Pr6Sm5Tm after structural relaxation.

Summary:
Energy of formation: 0.013 eV per atom

Unit cell a=17.9383 b=7.3375 c=6.3204 alpha=90.00 beta=90.42 gamma=90.00
Space group C2/m (No. 12)
Symmetry-distinct sites (fractional):
1 Pr 0.0000 0.2490 0.0000
2 Pr 0.1662 0.2496 0.6659
3 Sm 0.0000 0.5000 0.5000
4 Sm 0.1660 0.0000 0.1670
5 Sm 0.1665 0.5000 0.1657
6 Tm 0.0000 0.0000 0.5000

No. 16
Density functional theory data (PBE-GGA) for MgH12SO10 after structural relaxation.

Summary:
Total energy: -5.269 eV per atom

Unit cell a=10.1525 b=7.1956 c=25.0601 alpha=90.00 beta=100.62 gamma=90.00
Space group C2/c (No. 15)
Symmetry-distinct sites (fractional):
1 Mg 0.0000 0.0000 0.0000
2 Mg 0.0000 0.0740 0.2500
3 H 0.0167 0.2991 0.4341
4 H 0.0295 0.3165 0.5593
5 H 0.0683 0.2423 0.7002
6 H 0.0779 0.3819 0.2008
7 H 0.1262 0.2104 0.0873
8 H 0.1525 0.1807 0.5823
9 H 0.1603 0.0397 0.8454
10 H 0.1647 0.0810 0.6899
11 H 0.1673 0.1837 0.3421
12 H 0.2037 0.1226 0.9494
13 H 0.2115 0.3037 0.2380
14 H 0.2253 0.4683 0.9944
15 S 0.1327 0.4362 0.8760
16 O 0.0129 0.4271 0.8319
17 O 0.0373 0.1852 0.0649
18 O 0.0865 0.2148 0.5497
19 O 0.0899 0.4837 0.9287
20 O 0.1178 0.1319 0.7180
21 O 0.1188 0.2720 0.2211
22 O 0.1418 0.0691 0.3211
23 O 0.1893 0.0459 0.9802
24 O 0.2023 0.2520 0.8827
25 O 0.2266 0.4171 0.3632

No. 17
Density functional theory data (PBE-GGA) for Th2CuHgIr after structural relaxation.

Summary:
Energy of formation: -0.432 eV per atom

Unit cell a=7.9275 b=4.0603 c=8.1866 alpha=90.00 beta=111.89 gamma=90.00
Space group P2_1/m (No. 11)
Symmetry-distinct sites (fractional):
1 Th 0.1343 0.2500 0.3652
2 Th 0.2895 0.2500 0.9966
3 Cu 0.4477 0.7500 0.3731
4 Hg 0.3173 0.7500 0.6871
5 Ir 0.1172 0.7500 0.1178

No. 18
Density functional theory data (PBE-GGA) for Sm3DyEr5 after structural relaxation.

Summary:
Energy of formation: 0.531 eV per atom
Energy above the most stable polymorph in this dataset: 2.07 eV/f.u.

Unit cell a=15.2332 b=11.2689 c=9.9685 alpha=90.00 beta=130.70 gamma=90.00
Space group C2/m (No. 12)
Symmetry-distinct sites (fractional):
1 Sm 0.0000 0.0000 0.0000
2 Sm 0.0000 0.5000 0.5000
3 Sm 0.0091 0.0000 0.3077
4 Sm 0.0235 0.5000 0.8644
5 Dy 0.2482 0.5000 0.8983
6 Er 0.0000 0.2404 0.5000
7 Er 0.1577 0.2499 0.2514
8 Er 0.2166 0.0000 0.7255
9 Er 0.2224 0.5000 0.5357

No. 19
Density functional theory data (PBE-GGA) for SmZn2Au6 after structural relaxation.

Summary:
Energy of formation: -0.118 eV per atom

Unit cell a=11.8043 b=11.8043 c=11.8043 alpha=90.00 beta=90.00 gamma=90.00
Space group Fd-3m (No. 227, origin choice 2)
Symmetry-distinct sites (fractional):
1 Sm 0.1250 0.1250 0.1250
2 Zn 0.0000 0.0000 0.5000
3 Au 0.1239 0.3750 0.3750

No. 20
Density functional theory data (PBE-GGA) for BaReAs2 after structural relaxation.

Summary:
Energy of formation: 0.046 eV per atom
Energy above the most stable polymorph in this dataset: 1.21 eV/f.u.

Unit cell a=3.4326 b=4.1618 c=6.7069 alpha=90.00 beta=90.00 gamma=90.00
Space group Pmmm (No. 47)
Symmetry-distinct sites (fractional):
1 Ba 0.0000 0.0000 0.0000
2 Re 0.5000 0.0000 0.5000
3 As 0.5000 0.5000 0.2963